Entry 1:
TbCe2Y | PBE | optimized geometry

Cell and atoms, written as POSCAR:
```
TbCe2Y
1.0
3.5014 0.0000 0.0000
-1.7507 3.0323 0.0000
0.0000 0.0000 34.6840
Tb Ce Y
3 6 3
Cartesian
0.0000 0.0000 0.0000
0.0000 2.0215 23.1226
1.7507 1.0108 11.5613
0.0000 0.0000 20.2913
0.0000 0.0000 26.0282
0.0000 2.0215 8.7300
0.0000 2.0215 14.4669
1.7507 1.0108 2.9055
1.7507 1.0108 31.8526
0.0000 0.0000 5.8660
0.0000 2.0215 28.9886
1.7507 1.0108 17.4273
```

Fermi-level density of states: 2.58 states/eV per atom
Energy relative to the lowest polymorph listed for this composition: 0.004 eV per atom
Total magnetization: 4.4 μB per cell

Entry 2:
HfFe2Co3 | PBE | optimized geometry

Cell and atoms, written as POSCAR:
```
HfFe2Co3
1.0
4.8088 0.0000 0.0000
-2.4044 4.1646 0.0000
0.0000 0.0000 3.9284
Hf Fe Co
1 2 3
Cartesian
0.0000 0.0000 0.0000
0.0000 2.7764 0.0000
2.4044 1.3882 0.0000
-1.2022 2.0823 1.9642
2.4044 0.0000 1.9642
1.2022 2.0823 1.9642
```

DFT total energy: -0.600 Ry/atom
Fermi-level density of states: 0.77 states/eV per atom
Total magnetization: 8.4 μB per cell

Entry 3:
YMn2ZnS | PBE | optimized geometry

Cell and atoms, written as POSCAR:
```
YMn2ZnS
1.0
4.5984 0.0000 0.0000
0.0000 4.5984 0.0000
0.0000 0.0000 5.5001
Y Mn Zn S
1 2 1 1
Cartesian
0.0000 0.0000 0.0000
0.0000 2.2992 2.7500
2.2992 0.0000 2.7500
0.0000 0.0000 2.7500
2.2992 2.2992 0.0000
```

Formation energy without anion corrections: 0.387 eV per atom
Fermi-level density of states: 0.64 states/eV per atom
Total magnetization: 8.5 μB per cell

Entry 4:
Ca2HfZrO6 | PBE | optimized geometry

Cell and atoms, written as POSCAR:
```
Ca2HfZrO6
1.0
0.0000 4.1324 4.1324
4.1324 0.0000 4.1324
4.1324 4.1324 0.0000
Ca Hf Zr O
2 1 1 6
Cartesian
2.0662 2.0662 2.0662
6.1986 6.1986 6.1986
0.0000 0.0000 0.0000
4.1324 4.1324 4.1324
4.1324 4.1324 2.0517
4.1324 2.0517 4.1324
6.2131 4.1324 4.1324
2.0517 4.1324 4.1324
4.1324 6.2131 4.1324
4.1324 4.1324 6.2131
```

Formation energy without anion corrections: -3.155 eV per atom
Fermi-level density of states: 0.00 states/eV per atom
Energy relative to the lowest polymorph listed for this composition: 0.172 eV per atom
Total magnetization: 0.0 μB per cell

Entry 5:
CoTcRh2 | PBE | optimized geometry

Cell and atoms, written as POSCAR:
```
CoTcRh2
1.0
2.7026 0.0000 0.0000
-1.3513 2.3405 0.0000
0.0000 0.0000 25.9160
Co Tc Rh
3 3 6
Cartesian
0.0000 0.0000 0.0000
0.0000 1.5604 17.2773
1.3513 0.7802 8.6386
0.0000 0.0000 19.3858
0.0000 1.5604 10.7471
1.3513 0.7802 2.1085
0.0000 0.0000 6.5665
0.0000 0.0000 12.8976
0.0000 1.5604 4.2589
0.0000 1.5604 23.8438
1.3513 0.7802 15.2051
1.3513 0.7802 21.5362
```

Fermi-level density of states: 1.59 states/eV per atom
Energy relative to the lowest polymorph listed for this composition: 0.088 eV per atom
Total magnetization: 6.8 μB per cell

Entry 6:
Na2TlAg2 | PBE | optimized geometry

Cell and atoms, written as POSCAR:
```
Na2TlAg2
1.0
7.6972 0.0000 0.0000
0.0000 7.6972 0.0000
0.0000 0.0000 4.1980
Na Tl Ag
4 2 4
Cartesian
1.2939 2.5548 0.0000
2.5548 6.4034 0.0000
5.1425 1.2939 0.0000
6.4034 5.1425 0.0000
0.0000 0.0000 2.0990
3.8486 3.8486 2.0990
1.0007 4.8493 2.0990
2.8479 1.0007 2.0990
4.8493 6.6966 2.0990
6.6966 2.8479 2.0990
```

Fermi-level density of states: 0.30 states/eV per atom
Energy relative to the lowest polymorph listed for this composition: 0.025 eV per atom
Total magnetization: 0.0 μB per cell

Entry 7:
AgAsIr2 | PBE | optimized geometry

Cell and atoms, written as POSCAR:
```
AgAsIr2
1.0
2.8623 0.0000 0.0000
0.0000 2.8623 0.0000
0.0000 0.0000 8.1656
Ag As Ir
1 1 2
Cartesian
0.0000 0.0000 0.0000
1.4312 1.4312 2.6012
0.0000 0.0000 4.2491
1.4312 1.4312 6.1166
```

DFT total energy: -0.445 Ry/atom
Fermi-level density of states: 0.99 states/eV per atom
Total magnetization: 0.0 μB per cell

Entry 8:
LiEr3Te8Pb3 | PBE | optimized geometry

Cell and atoms, written as POSCAR:
```
LiEr3Te8Pb3
1.0
4.4066 2.5442 7.4973
-4.4066 2.5442 7.4973
0.0000 -5.0883 7.4973
Li Er Te Pb
1 3 8 3
Cartesian
0.0000 0.0000 0.0000
-2.2033 -1.2721 7.4973
-2.2033 1.2721 14.9946
0.0000 2.5442 7.4973
0.0000 -2.5319 9.2007
-2.1927 1.2660 9.2007
0.0000 0.0000 5.7459
-2.1927 -1.2660 13.2912
2.1927 1.2660 9.2007
0.0000 0.0000 16.7460
2.1927 -1.2660 13.2912
0.0000 2.5319 13.2912
-4.4066 0.0000 11.2459
-2.2033 1.2721 3.7486
2.2033 1.2721 3.7486
```

Formation energy without anion corrections: -0.867 eV per atom
Total magnetization: 0.0 μB per cell

Entry 9:
LiZnCr2 | PBE | optimized geometry

Cell and atoms, written as POSCAR:
```
LiZnCr2
1.0
4.7059 0.0000 0.0000
0.0000 8.5860 0.0000
0.0000 0.0000 2.4158
Li Zn Cr
2 2 4
Cartesian
0.0000 0.0000 0.0000
2.3530 4.2930 0.0000
0.0000 4.2930 0.0000
2.3530 0.0000 0.0000
1.1765 2.1465 1.2079
1.1765 6.4395 1.2079
3.5294 2.1465 1.2079
3.5294 6.4395 1.2079
```

Fermi-level density of states: 0.66 states/eV per atom
Energy relative to the lowest polymorph listed for this composition: 0.158 eV per atom
Total magnetization: 0.0 μB per cell

Entry 10:
Cs2MgBr6O | PBE | optimized geometry

Cell and atoms, written as POSCAR:
```
Cs2MgBr6O
1.0
-3.6887 3.6887 6.0851
3.6887 -3.6887 6.0851
3.6887 3.6887 -6.0851
Cs Mg Br O
2 1 6 1
Cartesian
3.6887 0.0000 3.0425
0.0000 3.6887 3.0425
0.0000 0.0000 0.0000
0.0000 0.0000 2.4796
2.0604 2.0604 0.0000
1.6283 -1.6283 6.0851
-1.6283 1.6283 6.0851
1.6283 1.6283 6.0851
0.0000 0.0000 9.6905
0.0000 0.0000 6.0851
```

Formation energy without anion corrections: -0.897 eV per atom
Fermi-level density of states: 0.00 states/eV per atom
Total magnetization: 0.0 μB per cell